A geometry-optimized ReBrCl3 structure, computed with GGA-PBE.

Results
Calculated total energy = -2.633 eV/atom
Energy above the lowest structure with this stoichiometry = 1806 meV per atom
Raw formation energy = 1299 meV/atom

Lattice parameters (Å, degrees): 5.311 5.311 5.311 90.00 90.00 90.00
Space group Pm-3m (No. 221)
Symmetry-distinct sites (fractional):
1 Re 0.000 0.000 0.000
2 Br 0.500 0.500 0.500
3 Cl 0.000 0.500 0.500